Density functional theory data (GGA-PBE) for an optimized crystal structure of BaPmTe.

The uncorrected formation energy is -954 meV per atom. The density of states at the Fermi level comes out at 3.3 states/eV/f.u. The calculation puts the calculated total energy at -4.226 eV/atom.

The structure belongs to space group P4/nmm (No. 129, origin choice 2); the cell edges are 4.8178, 4.8178 and 9.5457 Å and the angles 90.00°, 90.00° and 90.00°. The distinct sites, in fractional coordinates, are Ba at (0.2500, 0.2500, 0.1449), Pm at (0.2500, 0.7500, 0.5000) and Te at (0.2500, 0.2500, 0.7461).


Density functional theory data (GGA-PBE) for an optimized crystal structure of Ba4PmTe5.

The uncorrected formation energy is -1656 meV per atom. The density of states at the Fermi level comes out at 2.6 states/eV/f.u. The calculation puts the calculated total energy at -4.471 eV/atom.

The structure belongs to space group I4/mmm (No. 139); the cell edges are 4.8909, 4.8909 and 34.5545 Å and the angles 90.00°, 90.00° and 90.00°. The distinct sites, in fractional coordinates, are Ba at (0.0000, 0.0000, 0.0978), Ba at (0.0000, 0.0000, 0.3018), Pm at (0.0000, 0.0000, 0.5000), Te at (0.0000, 0.0000, 0.0000), Te at (0.0000, 0.0000, 0.1994) and Te at (0.0000, 0.0000, 0.4072).


Density functional theory data (GGA-PBE) for an optimized crystal structure of Ba2PmTe3.

The calculation puts the energy above the most stable polymorph in this dataset at 0.021 eV/atom. The uncorrected formation energy is -1608 meV per atom. The density of states at the Fermi level comes out at 2.2 states/eV/f.u. The calculation puts the calculated total energy at -4.612 eV/atom.

The structure belongs to space group C2/c (No. 15); the cell edges are 15.2812, 6.8025 and 9.4873 Å and the angles 90.00°, 108.09° and 90.00°. The distinct sites, in fractional coordinates, are Ba at (0.1713, 0.0000, 0.0856), Pm at (0.0000, 0.4995, 0.2500), Te at (0.0000, 0.0005, 0.7500) and Te at (0.1494, 0.4999, 0.0747).


Density functional theory data (GGA-PBE) for an optimized crystal structure of Ba2Pm3Te6.

The uncorrected formation energy is -1567 meV per atom. The density of states at the Fermi level comes out at 4.0 states/eV/f.u. The calculation puts the calculated total energy at -4.926 eV/atom.

The structure belongs to space group C2/m (No. 12); the cell edges are 7.8995, 13.6835 and 8.4834 Å and the angles 90.00°, 108.12° and 90.00°. The distinct sites, in fractional coordinates, are Ba at (0.0000, 0.1664, 0.0000), Pm at (0.0000, 0.0000, 0.5000), Pm at (0.0000, 0.3327, 0.5000), Te at (0.2378, 0.5000, 0.7223) and Te at (0.2426, 0.1651, 0.7227).


Density functional theory data (GGA-PBE) for an optimized crystal structure of BaPmTe2.

The calculation puts the energy above the most stable polymorph in this dataset at 0.263 eV/atom. The uncorrected formation energy is -1310 meV per atom. The density of states at the Fermi level comes out at 2.1 states/eV/f.u. The calculation puts the calculated total energy at -4.549 eV/atom.

The structure belongs to space group Fm-3m (No. 225); the cell edges are 8.0921, 8.0921 and 8.0921 Å and the angles 90.00°, 90.00° and 90.00°. The distinct sites, in fractional coordinates, are Ba at (0.0000, 0.0000, 0.0000), Pm at (0.0000, 0.0000, 0.5000) and Te at (0.2500, 0.2500, 0.2500).


Density functional theory data (GGA-PBE) for an optimized crystal structure of Ba5PmTe6.

The uncorrected formation energy is -1700 meV per atom. The density of states at the Fermi level comes out at 3.1 states/eV/f.u. The calculation puts the calculated total energy at -4.468 eV/atom.

The structure belongs to space group C2/m (No. 12); the cell edges are 8.4914, 14.6919 and 8.4813 Å and the angles 90.00°, 109.55° and 90.00°. The distinct sites, in fractional coordinates, are Ba at (0.0000, 0.0000, 0.0000), Ba at (0.0000, 0.1653, 0.5000), Ba at (0.0000, 0.3285, 0.0000), Pm at (0.0000, 0.5000, 0.5000), Te at (0.2315, 0.5000, 0.2599) and Te at (0.2351, 0.3432, 0.7364).


Density functional theory data (GGA-PBE) for an optimized crystal structure of Ba5Pm3Te8.

The uncorrected formation energy is -1608 meV per atom. The density of states at the Fermi level comes out at 4.9 states/eV/f.u. The calculation puts the calculated total energy at -4.670 eV/atom.

The structure belongs to space group R-3m (No. 166, hexagonal axes); the cell edges are 9.4886, 9.4886 and 23.7000 Å and the angles 90.00°, 90.00° and 120.00°. The distinct sites, in fractional coordinates, are Ba at (0.0000, 0.0000, 0.0000), Ba at (0.0000, 0.0000, 0.5000), Ba at (0.0000, 0.5000, 0.0000), Pm at (0.0000, 0.5000, 0.5000), Te at (0.0000, 0.0000, 0.2407) and Te at (0.0144, 0.5072, 0.7571).


Density functional theory data (GGA-PBE) for an optimized crystal structure of Ba2PmTe3.

The calculation puts the energy above the most stable polymorph in this dataset at 0.000 eV/atom. The uncorrected formation energy is -1629 meV per atom. The density of states at the Fermi level comes out at 1.7 states/eV/f.u. The calculation puts the calculated total energy at -4.632 eV/atom.

The structure belongs to space group Fddd (No. 70, origin choice 2); the cell edges are 9.6314, 13.5753 and 28.6451 Å and the angles 90.00°, 90.00° and 90.00°. The distinct sites, in fractional coordinates, are Ba at (0.1250, 0.1250, 0.0442), Ba at (0.1250, 0.1250, 0.3721), Pm at (0.1250, 0.1250, 0.5414), Te at (0.1002, 0.3750, 0.8750) and Te at (0.1130, 0.3640, 0.7125).


Density functional theory data (GGA-PBE) for an optimized crystal structure of BaPmTe2.

The calculation puts the energy above the most stable polymorph in this dataset at 0.046 eV/atom. The uncorrected formation energy is -1527 meV per atom. The density of states at the Fermi level comes out at 2.7 states/eV/f.u. The calculation puts the calculated total energy at -4.766 eV/atom.

The structure belongs to space group R3m (No. 160, hexagonal axes); the cell edges are 4.5593, 4.5593 and 24.7116 Å and the angles 90.00°, 90.00° and 120.00°. The distinct sites, in fractional coordinates, are Ba at (0.0000, 0.0000, 0.0000), Pm at (0.0000, 0.0000, 0.8275), Te at (0.0000, 0.0000, 0.2367) and Te at (0.0000, 0.0000, 0.4226).


Density functional theory data (GGA-PBE) for an optimized crystal structure of BaPm5Te6.

The uncorrected formation energy is -1441 meV per atom. The density of states at the Fermi level comes out at 6.2 states/eV/f.u. The calculation puts the calculated total energy at -5.151 eV/atom.

The structure belongs to space group C2/m (No. 12); the cell edges are 7.8375, 13.5952 and 7.9047 Å and the angles 90.00°, 109.40° and 90.00°. The distinct sites, in fractional coordinates, are Ba at (0.0000, 0.0000, 0.0000), Pm at (0.0000, 0.1554, 0.5000), Pm at (0.0000, 0.3328, 0.0000), Pm at (0.0000, 0.5000, 0.5000), Te at (0.2346, 0.5000, 0.2499) and Te at (0.2383, 0.3254, 0.7376).


Density functional theory data (GGA-PBE) for an optimized crystal structure of BaPmTe2.

The calculation puts the energy above the most stable polymorph in this dataset at 0.173 eV/atom. The uncorrected formation energy is -1400 meV per atom. The density of states at the Fermi level comes out at 2.5 states/eV/f.u. The calculation puts the calculated total energy at -4.640 eV/atom.

The structure belongs to space group P4/mmm (No. 123); the cell edges are 4.0077, 4.0077 and 8.2097 Å and the angles 90.00°, 90.00° and 90.00°. The distinct sites, in fractional coordinates, are Ba at (0.0000, 0.0000, 0.0000), Pm at (0.0000, 0.0000, 0.5000) and Te at (0.5000, 0.5000, 0.2754).


Density functional theory data (GGA-PBE) for an optimized crystal structure of Ba2PmTe4.

The uncorrected formation energy is -1451 meV per atom. The density of states at the Fermi level comes out at 2.6 states/eV/f.u. The calculation puts the calculated total energy at -4.474 eV/atom.

The structure belongs to space group C2/m (No. 12); the cell edges are 15.1831, 4.6741 and 9.1404 Å and the angles 90.00°, 117.40° and 90.00°. The distinct sites, in fractional coordinates, are Ba at (0.1514, 0.0000, 0.2061), Pm at (0.0000, 0.5000, 0.5000), Te at (0.0494, 0.5000, 0.8730) and Te at (0.1576, 0.0000, 0.5954).


- Look up the calculated total energy of the fifth one.
  -4.549 eV/atom